First-principles (PBE) data for MgCuTe after structural relaxation, as listed in Alexandria.

Cell: 6.437 6.437 4.098 Å, 90.09 90.09 53.24°
Sites, in units of the cell vectors:
Mg (0.000, 0.000, 0.000)
Mg (0.667, 0.667, 0.504)
Cu (0.014, 0.578, 0.004)
Cu (0.578, 0.014, 0.004)
Te (0.184, 0.184, 0.502)
Te (0.484, 0.484, 0.004)

Summary:
The crystal system is monoclinic. The value obtained for the uncorrected energy is -3.211 eV/atom. The value obtained for the raw formation energy is -0.27 eV/atom. Its total magnetization is 0.00 μB per cell.